This record from Alexandria describes a relaxed structure of K2NdHg2Se4. The functional is PBE-GGA.

The theoretical density is 5.73 g cm⁻³. Its energy is -3.361 eV per atom. Its symmetry is C2/m, No. 12. As for the density of states at the Fermi level: 0.42 states/eV per atom. The calculation puts the formation energy without anion corrections at -0.971 eV/atom.

a b c (Å): 4.2747 8.3792 8.5715
angles (deg): 112.86 104.44 90.00
Sites, in units of the cell vectors:
K (0.1257, 0.5677, 0.2515)
K (0.8743, 0.4323, 0.7485)
Nd (0.0000, 0.0000, 0.0000)
Hg (0.6906, 0.0241, 0.3812)
Hg (0.3094, 0.9759, 0.6188)
Se (0.1925, 0.2384, 0.3850)
Se (0.8075, 0.7616, 0.6150)
Se (0.5226, 0.7689, 0.0452)
Se (0.4774, 0.2311, 0.9548)

This record from Alexandria describes a relaxed structure of K2NdHg2Te4. The functional is PBE-GGA.

The theoretical density is 5.81 g cm⁻³. Its energy is -3.023 eV per atom. Its symmetry is C2/m, No. 12. As for the density of states at the Fermi level: 0.44 states/eV per atom. The calculation puts the formation energy without anion corrections at -0.786 eV/atom.

a b c (Å): 4.7137 8.5668 8.9170
angles (deg): 110.16 105.33 90.00
Sites, in units of the cell vectors:
K (0.1318, 0.5839, 0.2635)
K (0.8682, 0.4161, 0.7365)
Nd (0.0000, 0.0000, 0.0000)
Hg (0.6688, 0.9736, 0.3376)
Hg (0.3312, 0.0264, 0.6624)
Te (0.1997, 0.2007, 0.3995)
Te (0.8003, 0.7993, 0.6005)
Te (0.4957, 0.7412, 0.9914)
Te (0.5043, 0.2588, 0.0086)

This record from Alexandria describes a relaxed structure of KNd2HgTe4. The functional is PBE-GGA.

The theoretical density is 5.95 g cm⁻³. Its energy is -3.978 eV per atom. Its symmetry is Cmcm, No. 63. As for the density of states at the Fermi level: 0.54 states/eV per atom. The calculation puts the formation energy without anion corrections at -1.040 eV/atom.

a b c (Å): 4.6009 8.0206 16.3892
angles (deg): 90.00 90.00 106.67
Sites, in units of the cell vectors:
K (0.1363, 0.2726, 0.7500)
K (0.8637, 0.7274, 0.2500)
Nd (0.3747, 0.7495, 0.5656)
Nd (0.6253, 0.2505, 0.0656)
Nd (0.6253, 0.2505, 0.4344)
Nd (0.3747, 0.7495, 0.9344)
Hg (0.8430, 0.6860, 0.7500)
Hg (0.1570, 0.3140, 0.2500)
Te (0.2678, 0.5357, 0.1039)
Te (0.7322, 0.4643, 0.6039)
Te (0.7322, 0.4643, 0.8961)
Te (0.2678, 0.5357, 0.3961)
Te (0.0000, 0.0000, 0.5000)
Te (0.0000, 0.0000, 0.0000)
Te (0.4594, 0.9188, 0.7500)
Te (0.5406, 0.0812, 0.2500)

This record from Alexandria describes a relaxed structure of K4NiHg. The functional is PBE-GGA.

The theoretical density is 2.30 g cm⁻³. Its energy is -1.142 eV per atom. Its symmetry is F-43m, No. 216. The value obtained for the energy relative to the elements is 0.604 eV/atom. As for the density of states at the Fermi level: 1.78 states/eV per atom.

a b c (Å): 7.5151 7.5151 7.5151
angles (deg): 60.00 60.00 60.00
Last column: magnetic moment on the atom in μB.
Sites, in units of the cell vectors:
K (0.8725, 0.3758, 0.3758)  0.00
K (0.3758, 0.3758, 0.8725)  0.00
K (0.3758, 0.8725, 0.3758)  0.00
K (0.3758, 0.3758, 0.3758)  0.00
Ni (0.7500, 0.7500, 0.7500)  0.79
Hg (0.0000, 0.0000, 0.0000)  -0.01

This record from Alexandria describes a relaxed structure of KNiHg2. The functional is PBE-GGA.

The theoretical density is 8.48 g cm⁻³. Its energy is -1.484 eV per atom. Its symmetry is I-4m2, No. 119. The value obtained for the energy relative to the lowest polymorph listed for this composition is 0.336 eV per atom. The value obtained for the energy relative to the elements is 0.387 eV/atom. As for the density of states at the Fermi level: 0.80 states/eV per atom.

a b c (Å): 5.7144 5.7144 5.7144
angles (deg): 133.09 133.09 68.51
Last column: magnetic moment on the atom in μB.
Sites, in units of the cell vectors:
Hg (0.0000, 0.0000, 0.0000)  0.01
Hg (0.2500, 0.7500, 0.5000)  0.01
K (0.5000, 0.5000, 0.0000)  0.00
Ni (0.7500, 0.2500, 0.5000)  0.50

This record from Alexandria describes a relaxed structure of K3NiHg. The functional is PBE-GGA.

The theoretical density is 2.73 g cm⁻³. Its energy is -1.491 eV per atom. Its symmetry is Pm-3m, No. 221. The value obtained for the energy relative to the lowest polymorph listed for this composition is 0.000 eV per atom. The value obtained for the energy relative to the elements is 0.384 eV/atom. As for the density of states at the Fermi level: 1.24 states/eV per atom.

a b c (Å): 6.1206 6.1206 6.1206
angles (deg): 90.00 90.00 90.00
Sites, in units of the cell vectors:
Ni (0.0000, 0.0000, 0.0000)
K (0.0000, 0.5000, 0.0000)
K (0.0000, 0.0000, 0.5000)
K (0.5000, 0.0000, 0.0000)
Hg (0.5000, 0.5000, 0.5000)

This record from Alexandria describes a relaxed structure of KNiHg2. The functional is PBE-GGA.

The theoretical density is 5.85 g cm⁻³. Its energy is -1.724 eV per atom. Its symmetry is I-42d, No. 122. The value obtained for the energy relative to the lowest polymorph listed for this composition is 0.096 eV per atom. The value obtained for the energy relative to the elements is 0.147 eV/atom. As for the density of states at the Fermi level: 0.17 states/eV per atom.

a b c (Å): 5.9007 5.9007 9.1390
angles (deg): 71.17 71.17 90.00
Sites, in units of the cell vectors:
Ni (0.0000, 0.0000, 0.0000)
Ni (0.7500, 0.2500, 0.5000)
K (0.5000, 0.5000, 0.0000)
K (0.2500, 0.7500, 0.5000)
Hg (0.8188, 0.1250, 0.2500)
Hg (0.9312, 0.6250, 0.2500)
Hg (0.3750, 0.1812, 0.7500)
Hg (0.8750, 0.0688, 0.7500)

This record from Alexandria describes a relaxed structure of KNiHg2. The functional is PBE-GGA.

The theoretical density is 8.71 g cm⁻³. Its energy is -1.494 eV per atom. Its symmetry is P4/mmm, No. 123. The value obtained for the energy relative to the lowest polymorph listed for this composition is 0.326 eV per atom. The value obtained for the energy relative to the elements is 0.377 eV/atom. As for the density of states at the Fermi level: 0.64 states/eV per atom.

a b c (Å): 5.1510 5.1567 3.5800
angles (deg): 90.00 90.00 90.00
Sites, in units of the cell vectors:
Hg (0.0000, 0.0000, 0.0000)
Hg (0.5000, 0.5000, 0.0000)
K (0.5000, 0.0000, 0.5000)
Ni (0.0000, 0.5000, 0.5000)

This record from Alexandria describes a relaxed structure of K2NiHg. The functional is PBE-GGA.

The theoretical density is 4.21 g cm⁻³. Its energy is -1.675 eV per atom. Its symmetry is Pmmm, No. 47. The value obtained for the energy relative to the elements is 0.394 eV/atom. As for the density of states at the Fermi level: 1.75 states/eV per atom.

a b c (Å): 3.9812 4.0681 8.2197
angles (deg): 90.00 90.00 90.00
Last column: magnetic moment on the atom in μB.
Sites, in units of the cell vectors:
Hg (0.5000, 0.5000, 0.7500)  0.00
K (0.0000, 0.0000, 0.0299)  -0.01
K (0.0000, 0.0000, 0.4701)  -0.01
Ni (0.5000, 0.5000, 0.2500)  0.66

This record from Alexandria describes a relaxed structure of K2NiHg. The functional is PBE-GGA.

The theoretical density is 4.08 g cm⁻³. Its energy is -1.856 eV per atom. Its symmetry is P4mm, No. 99. The value obtained for the energy relative to the elements is 0.214 eV/atom. As for the density of states at the Fermi level: 0.68 states/eV per atom.

a b c (Å): 3.7171 3.7171 9.9429
angles (deg): 90.00 90.00 90.00
Sites, in units of the cell vectors:
Hg (0.5000, 0.5000, 0.6493)
K (0.0000, 0.0000, 0.9133)
K (0.5000, 0.5000, 0.3296)
Ni (0.0000, 0.0000, 0.6077)

This record from Alexandria describes a relaxed structure of KNiHg2. The functional is PBE-GGA.

The theoretical density is 8.22 g cm⁻³. Its energy is -1.698 eV per atom. Its symmetry is Immm, No. 71. The value obtained for the energy relative to the lowest polymorph listed for this composition is 0.122 eV per atom. The value obtained for the energy relative to the elements is 0.172 eV/atom. As for the density of states at the Fermi level: 0.31 states/eV per atom.

a b c (Å): 6.5506 6.5506 6.5506
angles (deg): 153.17 126.83 60.54
Sites, in units of the cell vectors:
Hg (0.0603, 0.0603, 0.0000)
Hg (0.4397, 0.4397, 0.0000)
K (0.7500, 0.2500, 0.5000)
Ni (0.2500, 0.7500, 0.5000)

This record from Alexandria describes a relaxed structure of KNiHg2. The functional is PBE-GGA.

The theoretical density is 7.32 g cm⁻³. Its energy is -1.814 eV per atom. Its symmetry is Cm, No. 8. The value obtained for the energy relative to the lowest polymorph listed for this composition is 0.007 eV per atom. The value obtained for the energy relative to the elements is 0.057 eV/atom. As for the density of states at the Fermi level: 0.48 states/eV per atom.

a b c (Å): 4.5467 4.5467 6.8473
angles (deg): 70.65 70.65 59.93
Sites, in units of the cell vectors:
Hg (0.0378, 0.0378, 0.8867)
Hg (0.2943, 0.2943, 0.1180)
K (0.4942, 0.4942, 0.5161)
Ni (0.6738, 0.6738, 0.9793)

This record from Alexandria describes a relaxed structure of KNiHg2. The functional is PBE-GGA.

The theoretical density is 8.67 g cm⁻³. Its energy is -1.477 eV per atom. Its symmetry is F-43m, No. 216. The value obtained for the energy relative to the lowest polymorph listed for this composition is 0.344 eV per atom. The value obtained for the energy relative to the elements is 0.394 eV/atom. As for the density of states at the Fermi level: 0.92 states/eV per atom.

a b c (Å): 5.1319 5.1319 5.1319
angles (deg): 60.00 60.00 60.00
Sites, in units of the cell vectors:
Hg (0.0000, 0.0000, 0.0000)
Hg (0.2500, 0.2500, 0.2500)
K (0.5000, 0.5000, 0.5000)
Ni (0.7500, 0.7500, 0.7500)

This record from Alexandria describes a relaxed structure of K2NiHg. The functional is PBE-GGA.

The theoretical density is 4.10 g cm⁻³. Its energy is -1.853 eV per atom. Its symmetry is Cm, No. 8. The value obtained for the energy relative to the elements is 0.216 eV/atom. As for the density of states at the Fermi level: 0.72 states/eV per atom.

a b c (Å): 6.0935 6.0935 5.8964
angles (deg): 61.39 61.39 47.07
Sites, in units of the cell vectors:
Hg (0.1637, 0.1637, 0.3383)
K (0.9621, 0.9621, 0.0392)
K (0.7712, 0.7712, 0.7281)
Ni (0.6030, 0.6030, 0.3945)

This record from Alexandria describes a relaxed structure of KNiHg2. The functional is PBE-GGA.

The theoretical density is 6.43 g cm⁻³. Its energy is -1.757 eV per atom. Its symmetry is Pm, No. 6. The value obtained for the energy relative to the lowest polymorph listed for this composition is 0.063 eV per atom. The value obtained for the energy relative to the elements is 0.114 eV/atom. As for the density of states at the Fermi level: 0.43 states/eV per atom.

a b c (Å): 4.9095 5.1268 5.1199
angles (deg): 89.89 90.00 90.00
Sites, in units of the cell vectors:
Hg (0.0000, 0.9207, 0.0018)
Hg (0.5000, 0.3082, 0.0016)
K (0.0000, 0.4682, 0.5022)
Ni (0.5000, 0.8029, 0.9944)

This record from Alexandria describes a relaxed structure of KNiHg2. The functional is PBE-GGA.

The theoretical density is 7.43 g cm⁻³. Its energy is -1.820 eV per atom. Its symmetry is R-3m, No. 166. The value obtained for the energy relative to the lowest polymorph listed for this composition is 0.000 eV per atom. The value obtained for the energy relative to the elements is 0.051 eV/atom. As for the density of states at the Fermi level: 0.50 states/eV per atom.

a b c (Å): 4.5465 4.5465 6.7569
angles (deg): 70.31 70.31 60.03
Sites, in units of the cell vectors:
Hg (0.0443, 0.0443, 0.8668)
Hg (0.4557, 0.4557, 0.6332)
K (0.2500, 0.2500, 0.2500)
Ni (0.7500, 0.7500, 0.7500)

This record from Alexandria describes a relaxed structure of KNi2Hg2. The functional is PBE-GGA.

The theoretical density is 8.44 g cm⁻³. Its energy is -2.395 eV per atom. Its symmetry is I4/mmm, No. 139. The value obtained for the energy relative to the lowest polymorph listed for this composition is 0.052 eV per atom. The value obtained for the energy relative to the elements is 0.258 eV/atom. As for the density of states at the Fermi level: 0.64 states/eV per atom.

a b c (Å): 4.1936 4.1936 6.9066
angles (deg): 72.33 72.33 90.00
Sites, in units of the cell vectors:
Ni (0.7500, 0.2500, 0.5000)
Ni (0.2500, 0.7500, 0.5000)
K (0.0000, 0.0000, 0.0000)
Hg (0.3776, 0.3776, 0.2449)
Hg (0.6224, 0.6224, 0.7551)

This record from Alexandria describes a relaxed structure of KNi3Hg. The functional is PBE-GGA.

The theoretical density is 7.29 g cm⁻³. Its energy is -1.889 eV per atom. Its symmetry is Pm-3m, No. 221. The value obtained for the energy relative to the lowest polymorph listed for this composition is 0.832 eV per atom. The value obtained for the energy relative to the elements is 1.859 eV/atom. As for the density of states at the Fermi level: 1.16 states/eV per atom.

a b c (Å): 4.5576 4.5576 4.5576
angles (deg): 90.00 90.00 90.00
Sites, in units of the cell vectors:
Ni (0.0000, 0.5000, 0.0000)
Ni (0.0000, 0.0000, 0.5000)
Ni (0.5000, 0.0000, 0.0000)
K (0.0000, 0.0000, 0.0000)
Hg (0.5000, 0.5000, 0.5000)

This record from Alexandria describes a relaxed structure of KNi2Hg2. The functional is PBE-GGA.

The theoretical density is 9.65 g cm⁻³. Its energy is -2.447 eV per atom. Its symmetry is P4/mbm, No. 127. The value obtained for the energy relative to the lowest polymorph listed for this composition is 0.000 eV per atom. The value obtained for the energy relative to the elements is 0.206 eV/atom. As for the density of states at the Fermi level: 0.45 states/eV per atom.

a b c (Å): 8.0294 8.0294 2.9781
angles (deg): 90.00 90.00 90.00
Sites, in units of the cell vectors:
Ni (0.3884, 0.8884, 0.0000)
Ni (0.8884, 0.6116, 0.0000)
Ni (0.6116, 0.1116, 0.0000)
Ni (0.1116, 0.3884, 0.0000)
K (0.0000, 0.0000, 0.0000)
K (0.5000, 0.5000, 0.0000)
Hg (0.1769, 0.6769, 0.5000)
Hg (0.6769, 0.8231, 0.5000)
Hg (0.8231, 0.3231, 0.5000)
Hg (0.3231, 0.1769, 0.5000)

This record from Alexandria describes a relaxed structure of KNi2Hg2. The functional is PBE-GGA.

The theoretical density is 8.40 g cm⁻³. Its energy is -2.393 eV per atom. Its symmetry is I4/mmm, No. 139. The value obtained for the energy relative to the lowest polymorph listed for this composition is 0.054 eV per atom. The value obtained for the energy relative to the elements is 0.260 eV/atom. As for the density of states at the Fermi level: 0.78 states/eV per atom.

a b c (Å): 4.7416 4.7416 5.9422
angles (deg): 66.49 66.49 90.00
Last column: magnetic moment on the atom in μB.
Sites, in units of the cell vectors:
Ni (0.3818, 0.3818, 0.2363)  0.18
Ni (0.6182, 0.6182, 0.7637)  0.18
K (0.0000, 0.0000, 0.0000)  0.00
Hg (0.7500, 0.2500, 0.5000)  0.00
Hg (0.2500, 0.7500, 0.5000)  0.00